A relaxed ScBeZn2Mo crystal. Source: the Alexandria database, functional PBE.

a b c (Å): 4.8456 4.4429 4.8456
angles (deg): 90.00 90.00 90.00
Each line ends with the local moment (μB).
Fractional coordinates of all 5 atoms:
Sc 0.0000 0.0000 0.0000  -0.04
Zn 0.5000 0.0000 0.0000  -0.05
Zn 0.0000 0.0000 0.5000  -0.03
Be 0.0000 0.5000 0.0000  -0.01
Mo 0.5000 0.5000 0.5000  2.74

As for the symmetry: P4/mmm, No. 123. The value obtained for the energy of formation from the pure elements is 8.30 eV per formula unit. The total energy is -15.13 eV/cell.

A relaxed BeMo2Se crystal. Source: the Alexandria database, functional PBE.

a b c (Å): 3.7233 3.7233 9.3624
angles (deg): 78.53 78.53 90.00
Fractional coordinates of all 8 atoms:
Se 0.0000 0.0000 0.0000
Se 0.7500 0.2500 0.5000
Mo 0.8750 0.8629 0.7500
Mo 0.6129 0.1250 0.2500
Mo 0.3750 0.3871 0.7500
Mo 0.1371 0.6250 0.2500
Be 0.2500 0.7500 0.5000
Be 0.5000 0.5000 0.0000

As for the symmetry: I-42d, No. 122. The total energy is -54.30 eV/cell. Its distance to the lowest polymorph of the same formula is 404 meV/atom. The calculation puts the uncorrected formation energy at 0.430 eV/atom.

A relaxed BeMoSe2 crystal. Source: the Alexandria database, functional PBE.

a b c (Å): 4.8668 4.8668 4.8668
angles (deg): 138.64 124.62 71.41
Fractional coordinates of all 4 atoms:
Be 0.7500 0.2500 0.5000
Se 0.5591 0.5591 0.0000
Se 0.9409 0.9409 0.0000
Mo 0.2500 0.7500 0.5000

As for the symmetry: Immm, No. 71. The total energy is -21.03 eV/cell. The calculation puts the uncorrected formation energy at 0.125 eV/atom.